1.
Hg2Au2Br PBE-GGA optimized geometry; uncorrected energy = -1.673 eV/atom; E above lowest polymorph = 0.0873 eV per atom; V = 22.95 Å³/atom
1.0
-0.049 6.051 -5.186
-7.336 1.991 2.393
1.412 2.172 2.521
Au Hg Br
4 4 2
direct
0.376 0.876 0.000
0.876 0.624 0.000
0.624 0.124 0.000
0.124 0.376 0.000
0.177 0.677 0.500
0.677 0.823 0.500
0.823 0.323 0.500
0.323 0.177 0.500
0.000 0.000 0.000
0.500 0.500 0.000

2.
Hg2Au3Br6 PBE-GGA optimized geometry; uncorrected energy = -2.005 eV/atom; V = 36.92 Å³/atom
1.0
8.405 0.000 2.345
3.964 6.988 2.029
0.611 0.380 14.047
Hg Au Br
4 6 12
direct
0.269 0.992 0.075
0.663 0.492 0.575
0.731 0.008 0.925
0.337 0.508 0.425
0.981 0.988 0.673
0.598 0.250 0.750
0.641 0.512 0.827
0.359 0.488 0.173
0.019 0.012 0.327
0.402 0.750 0.250
0.965 0.723 0.801
0.328 0.195 0.894
0.802 0.273 0.961
0.511 0.223 0.301
0.964 0.773 0.461
0.583 0.695 0.394
0.035 0.277 0.199
0.672 0.805 0.106
0.198 0.727 0.039
0.489 0.777 0.699
0.036 0.227 0.539
0.417 0.305 0.606

3.
Hg2AuBr PBE-GGA optimized geometry; uncorrected energy = -1.444 eV/atom; E above lowest polymorph = 0.0153 eV per atom; V = 26.62 Å³/atom
1.0
3.971 0.000 0.000
1.986 3.439 0.000
1.986 1.146 7.795
Hg Au Br
2 1 1
direct
0.075 0.075 0.775
0.261 0.261 0.218
0.668 0.668 0.995
0.496 0.496 0.513

4.
Hg2AuBr PBE-GGA optimized geometry; uncorrected energy = -1.328 eV/atom; E above lowest polymorph = 0.1314 eV per atom; V = 27.62 Å³/atom
1.0
-3.748 -0.387 -0.727
1.792 -3.116 1.345
-1.762 2.362 7.821
Au Hg Br
1 2 1
direct
0.000 0.000 0.502
0.000 0.000 0.005
0.500 0.500 0.275
0.500 0.500 0.718

5.
Hg2AuBr PBE-GGA optimized geometry; uncorrected energy = -1.380 eV/atom; E above lowest polymorph = 0.0794 eV per atom; V = 27.20 Å³/atom
1.0
-2.999 -0.978 -2.192
1.512 -2.736 2.232
-5.172 2.135 6.122
Au Hg Br
1 2 1
direct
0.500 0.500 0.250
0.000 0.000 0.016
0.000 0.000 0.484
0.500 0.500 0.750

6.
Hg4AuBr5 PBE-GGA optimized geometry; uncorrected energy = -1.516 eV/atom; V = 32.28 Å³/atom
1.0
3.977 0.000 0.000
0.000 8.309 -0.480
-1.988 -1.696 9.866
Hg Au Br
4 1 5
direct
0.335 0.914 0.671
0.999 0.763 0.998
0.665 0.086 0.329
0.001 0.237 0.002
0.500 0.000 0.000
0.826 0.682 0.653
0.828 0.148 0.657
0.172 0.852 0.343
0.500 0.500 0.000
0.174 0.318 0.347

7.
Hg2AuBr PBE-GGA optimized geometry; uncorrected energy = -1.255 eV/atom; E above lowest polymorph = 0.2040 eV per atom; V = 30.88 Å³/atom
1.0
-1.588 -2.149 -4.799
4.315 -2.022 2.731
-4.250 -0.948 3.348
Au Hg Br
1 2 1
direct
0.500 0.500 0.000
0.000 0.000 0.000
0.250 0.750 0.500
0.750 0.250 0.500

8.
Hg2AuBr PBE-GGA optimized geometry; uncorrected energy = -1.375 eV/atom; E above lowest polymorph = 0.0848 eV per atom; V = 28.97 Å³/atom
1.0
-2.085 5.440 0.760
0.500 -0.161 5.852
3.220 0.103 -4.913
Au Hg Br
1 2 1
direct
0.750 0.250 0.500
0.984 0.984 0.000
0.516 0.516 0.000
0.250 0.750 0.500

ΔE_f (raw), record by record: 0.465, -1.586, -0.223, 0.242, 0.034, -2.307, 0.532, 0.055 eV/f.u.
Ρ, record by record: 12.7, 6.0, 10.6, 10.2, 10.3, 7.2, 9.1, 9.7 g/cm3